An optimized crystal structure of NaOsRh. Source: Alexandria, functional PBE.

The space group is Cm (No. 8) and the conventional cell measures 9.8509, 2.7610 and 7.5988 Å, with angles of 90.00, 106.05 and 90.00 degrees. The inequivalent atoms are Na at (0.0000, 0.0000, 0.0000), Na at (0.2250, 0.5000, 0.9160), Os at (0.1653, 0.5000, 0.3562), Os at (0.3335, 0.0000, 0.6120), Rh at (0.0527, 0.0000, 0.5864) and Rh at (0.3808, 0.0000, 0.2853).

As for the excess energy over the best structure of this formula in the dataset: 120.8 meV/atom. Its magnetization is 0.00 μB/f.u. The value obtained for the formation enthalpy at 0 K is 0.45 eV per atom.


An optimized crystal structure of NaOsRh. Source: Alexandria, functional PBE.

The space group is Cm (No. 8) and the conventional cell measures 14.9271, 2.7218 and 4.8250 Å, with angles of 90.00, 96.72 and 90.00 degrees. The inequivalent atoms are Na at (0.0000, 0.0000, 0.0000), Na at (0.0016, 0.5000, 0.4994), Os at (0.1836, 0.5000, 0.8882), Os at (0.3184, 0.5000, 0.2506), Rh at (0.1772, 0.0000, 0.3790) and Rh at (0.3251, 0.0000, 0.7596).

As for the excess energy over the best structure of this formula in the dataset: 103.4 meV/atom. Its magnetization is 0.00 μB/f.u. The value obtained for the formation enthalpy at 0 K is 0.43 eV per atom.


An optimized crystal structure of NaOsRh. Source: Alexandria, functional PBE.

The space group is Fmmm (No. 69) and the conventional cell measures 5.2704, 8.0242 and 9.2545 Å, with angles of 90.00, 90.00 and 90.00 degrees. The inequivalent atoms are Na at (0.0000, 0.1503, 0.0000), Os at (0.0000, 0.0000, 0.3703) and Rh at (0.2500, 0.2500, 0.2500).

As for the excess energy over the best structure of this formula in the dataset: 125.8 meV/atom. Its magnetization is 0.00 μB/f.u. The value obtained for the formation enthalpy at 0 K is 0.45 eV per atom.